Entry 1:
Entry from Alexandria via LeMat-Bulk: a relaxed structure of Sm2DyEr3 (PBE-GGA).

The structure in POSCAR format:
```
Sm2DyEr3
1.0
10.022 -2.497 0.000
10.022 2.497 0.000
-0.394 0.000 8.017
Sm Dy Er
4 2 6
Cartesian
2.037 0.000 3.433
6.879 0.000 2.122
12.771 0.000 5.895
17.613 0.000 4.584
0.512 0.000 6.680
19.138 0.000 1.337
3.817 0.000 0.367
5.100 0.000 5.218
8.150 0.000 7.043
11.500 0.000 0.975
14.550 0.000 2.800
15.833 0.000 7.650
```

Distance to the lowest polymorph of the same formula, eV/atom: 0.032
Total moment, μB/f.u.: 0.00
Space group: C2/m



Entry 2:
Entry from Alexandria via LeMat-Bulk: a relaxed structure of Ce2LuTh (PBE-GGA).

The structure in POSCAR format:
```
Ce2LuTh
1.0
4.852 0.000 0.000
0.000 4.852 0.000
0.000 0.000 4.991
Ce Lu Th
2 1 1
Cartesian
0.000 2.426 0.000
2.426 0.000 0.000
0.000 0.000 2.496
2.426 2.426 2.496
```

Distance to the lowest polymorph of the same formula, eV/atom: 0.015
Total moment, μB/f.u.: 0.58
Space group: P4/mmm



Entry 3:
Entry from Alexandria via LeMat-Bulk: a relaxed structure of PuIn2Te (PBE-GGA).

The structure in POSCAR format:
```
PuIn2Te
1.0
4.514 0.000 0.000
0.000 4.514 0.000
0.000 0.000 5.168
Pu In Te
1 2 1
Cartesian
0.000 0.000 0.000
0.000 2.257 2.584
2.257 0.000 2.584
2.257 2.257 0.000
```

Raw formation energy, eV per atom: -0.389
Total moment, μB/f.u.: 5.71
Space group: P4/mmm